[1]
An optimized crystal structure of GdYP2, computed with PBE.

Output
energy of formation from the pure elements	-1614	meV/atom
crystal system	trigonal
total energy	-113.46	eV per cell

abc: 4.0348 4.0348 19.7508
angles: 90.00 90.00 120.00
Closest atoms and distances in Å follow each position.
Space group R-3m (No. 166, hexagonal axes)
Symmetry-distinct sites (fractional):
Gd: 0.0000 0.0000 0.0000 x3  6 P 2.86
Y: 0.0000 0.0000 0.5000 x3  6 P 2.85
P: 0.0000 0.0000 0.2495 x6  3 Y 2.85, 3 Gd 2.86



[2]
An optimized crystal structure of Ba2InBiO, computed with PBE.

Output
crystal system	tetragonal
ΔE to the lowest computed polymorph	0.0996	eV per atom
total energy	-21.57	eV per cell

abc: 5.5071 5.5071 5.1598
angles: 90.00 90.00 90.00
Closest atoms and distances in Å follow each position.
Space group P4/mmm (No. 123)
Symmetry-distinct sites (fractional):
Ba: 0.0000 0.5000 0.0000 x2  2 O 2.75
In: 0.0000 0.0000 0.5000 x1  2 O 2.58
Bi: 0.5000 0.5000 0.5000 x1  8 Ba 3.77, 4 In 3.89
O: 0.0000 0.0000 0.0000 x1  2 In 2.58, 4 Ba 2.75